DFT (PBE) results for a geometry-optimized PaHgPbI6 structure.

final energy	-3.28	eV/atom
raw formation energy	-0.75	eV/atom

```
PaHgPbI6
1.0
8.0212 0.0000 0.0000
-4.0106 6.9466 0.0000
0.0000 0.0000 18.6476
Pa Hg Pb I
2 2 2 12
direct
0.3333 0.6667 0.2500
0.6667 0.3333 0.7500
0.0000 0.0000 0.0000
0.0000 0.0000 0.5000
0.3333 0.6667 0.7500
0.6667 0.3333 0.2500
0.0199 0.3646 0.1541
0.0199 0.6553 0.3459
0.3447 0.3646 0.3459
0.3447 0.9801 0.1541
0.3646 0.0199 0.6541
0.3646 0.3447 0.8459
0.6354 0.6553 0.1541
0.6354 0.9801 0.3459
0.6553 0.0199 0.8459
0.6553 0.6354 0.6541
0.9801 0.3447 0.6541
0.9801 0.6354 0.8459
```